Arrangement A

# Re3Si

Re3Si after structural relaxation (GGA-PBEsol, the Alexandria database).

Unit cell a=2.885 b=2.885 c=6.624 alpha=90.00 beta=90.00 gamma=90.00
Element x y z (fractional)
Re1 0.000 0.000 0.000
Re2 0.500 0.500 0.271
Re3 0.500 0.500 0.729
Si1 0.000 0.000 0.500

Arrangement B

# Re3Si

Re3Si after structural relaxation (GGA-PBEsol, the Alexandria database).

Unit cell a=2.929 b=4.364 c=8.634 alpha=90.00 beta=90.00 gamma=90.00
Element x y z (fractional)
Re1 0.000 0.000 0.000
Re2 0.000 0.500 0.230
Re3 0.000 0.500 0.770
Re4 0.500 0.000 0.270
Re5 0.500 0.000 0.730
Re6 0.500 0.500 0.500
Si1 0.000 0.000 0.500
Si2 0.500 0.500 0.000

arrangement A wins, 0.013 eV/atom ahead of the next structure.

Arrangement A

# TlRe2Si

TlRe2Si after structural relaxation (GGA-PBEsol, the Alexandria database).

Unit cell a=6.266 b=6.266 c=6.266 alpha=90.00 beta=90.00 gamma=90.00
Element x y z (fractional)
Tl1 0.000 0.000 0.000
Tl2 0.000 0.500 0.500
Tl3 0.500 0.000 0.500
Tl4 0.500 0.500 0.000
Re1 0.250 0.250 0.250
Re2 0.250 0.250 0.750
Re3 0.250 0.750 0.250
Re4 0.250 0.750 0.750
Re5 0.750 0.250 0.250
Re6 0.750 0.250 0.750
Re7 0.750 0.750 0.250
Re8 0.750 0.750 0.750
Si1 0.000 0.000 0.500
Si2 0.000 0.500 0.000
Si3 0.500 0.000 0.000
Si4 0.500 0.500 0.500

Arrangement B

# TlRe2Si

TlRe2Si after structural relaxation (GGA-PBEsol, the Alexandria database).

Unit cell a=6.375 b=6.375 c=6.375 alpha=90.00 beta=90.00 gamma=90.00
Element x y z (fractional)
Tl1 0.000 0.000 0.000
Tl2 0.000 0.500 0.500
Tl3 0.500 0.000 0.500
Tl4 0.500 0.500 0.000
Re1 0.000 0.000 0.500
Re2 0.000 0.500 0.000
Re3 0.250 0.250 0.750
Re4 0.250 0.750 0.250
Re5 0.500 0.000 0.000
Re6 0.500 0.500 0.500
Re7 0.750 0.250 0.250
Re8 0.750 0.750 0.750
Si1 0.250 0.250 0.250
Si2 0.250 0.750 0.750
Si3 0.750 0.250 0.750
Si4 0.750 0.750 0.250

arrangement A wins, 0.118 eV/atom ahead of the next structure.